1.
Compound: UNiHRu2
Source: Alexandria
Functional: PBE
Structure: relaxed

Structure (POSCAR):
```
UNiHRu2
1.0
3.778 0.000 0.000
0.000 4.094 0.000
0.000 0.000 4.094
U Ni H Ru
1 1 1 2
Direct
0.500 0.500 0.500
0.500 0.000 0.000
0.000 0.000 0.000
0.000 0.000 0.500
0.000 0.500 0.000
```

Values from the calculation:
- Volume: 63.3 Å³/cell
- Calculated total energy: -8.08 eV/atom
- ρ: 13.1 Mg/m³

2.
Compound: NiHRu2W
Source: Alexandria
Functional: PBE
Structure: relaxed

Structure (POSCAR):
```
NiHRu2W
1.0
3.938 0.000 0.000
0.000 3.938 0.000
0.000 0.000 3.667
Ru H W Ni
2 1 1 1
Direct
0.000 0.500 0.000
0.500 0.000 0.000
0.000 0.000 0.000
0.500 0.500 0.500
0.000 0.000 0.500
```

Values from the calculation:
- Volume: 56.9 Å³/cell
- Calculated total energy: -8.13 eV/atom
- Energy relative to the lowest polymorph listed for this composition: 0 meV per atom
- ρ: 13.0 Mg/m³

- Among the records above, which one has the highest volume?
  UNiHRu2

What did the second record say?
Compound: NiHRu2W
Source: Alexandria
Functional: PBE
Structure: relaxed

Structure (POSCAR):
```
NiHRu2W
1.0
3.938 0.000 0.000
0.000 3.938 0.000
0.000 0.000 3.667
Ru H W Ni
2 1 1 1
Direct
0.000 0.500 0.000
0.500 0.000 0.000
0.000 0.000 0.000
0.500 0.500 0.500
0.000 0.000 0.500
```

Values from the calculation:
- Volume: 56.9 Å³/cell
- Calculated total energy: -8.13 eV/atom
- Energy relative to the lowest polymorph listed for this composition: 0 meV per atom
- ρ: 13.0 Mg/m³

- Among the records above, which one has the highest volume?
  UNiHRu2

- Number 1 is which compound?
  UNiHRu2